Ac3Al2CoO9 after structural relaxation, computed with GGA+U.

```
Ac3Al2CoO9
1.0
-2.0838 3.6155 3.5711
-3.3038 -2.5476 -3.5723
-0.9838 -4.9581 4.4457
O Ac Co Al
9 3 1 2
Direct
0.8322 0.1678 0.6685
0.1678 0.3356 0.3315
0.1678 0.8322 0.3315
0.3356 0.1678 0.6685
0.5000 0.0000 0.0000
0.8322 0.6644 0.6685
0.5000 0.5000 0.0000
0.0000 0.5000 0.0000
0.6644 0.8322 0.3315
0.3333 0.6667 0.6609
0.0000 0.0000 0.0000
0.6667 0.3333 0.3391
0.0000 0.0000 0.5000
0.3333 0.6667 0.1610
0.6667 0.3333 0.8390
```

Results
The calculation puts the magnetization at 0.00 μB per atom. The calculation puts the raw total energy at -7.545 eV per atom. Its space group is No. 164.